Density functional theory data (GGA-PBE) for an optimized crystal structure of LaMg2Zr.

a = 4.5696 Å, b = 4.7882 Å, c = 4.7882 Å
α = 90.00°, β = 90.00°, γ = 90.00°
Sites, in units of the cell vectors:
Mg: 0.0000 0.5000 0.5000
Mg: 0.0000 0.0000 0.0000
La: 0.5000 0.0000 0.5000
Zr: 0.5000 0.5000 0.0000

ΔE_f	115	meV per atom
raw total energy	-4.0508	eV per atom